Entry 1:
First-principles (PBE) data for a relaxed structure of La5NdTm2, as listed in Alexandria via LeMat-Bulk.

Calculated values
Density = 7.02 g cm⁻³
Magnetization = 0.0 μB/f.u.
Formation energy = 0.0094 eV/atom
N(E_F) = 19.6 states/eV/cell

Unit cell a=7.3208 b=14.6461 c=5.1882 alpha=90.00 beta=90.00 gamma=90.00
Space group Pbam (No. 55)
Unique sites:
La 0.0000 0.0000 0.0000 x2
La 0.0019 0.2507 0.0000 x4
La 0.2490 0.6245 0.5000 x4
Nd 0.0000 0.5000 0.0000 x2
Tm 0.2489 0.8754 0.5000 x4

***

Entry 2:
First-principles (PBE) data for a relaxed structure of K2TiHgCl6, as listed in Alexandria via LeMat-Bulk.

Calculated values
Density = 2.55 g cm⁻³
Magnetization = 0.0 μB/f.u.
Formation energy without anion corrections = -1.562 eV per atom

Unit cell a=7.5988 b=7.5988 c=21.0963 alpha=90.00 beta=90.00 gamma=120.00
Space group R3 (No. 146, hexagonal axes)
Unique sites:
K 0.0000 0.0000 0.0000 x3
K 0.0000 0.0000 0.4720 x3
Ti 0.0000 0.0000 0.6627 x3
Hg 0.0000 0.0000 0.1762 x3
Cl 0.0267 0.7628 0.5963 x9
Cl 0.0888 0.4014 0.3936 x9

***

Entry 3:
First-principles (PBE) data for a relaxed structure of CaZr2SnAs, as listed in Alexandria via LeMat-Bulk.

Calculated values
Density = 4.77 g cm⁻³
Magnetization = 0.0 μB/f.u.
Formation energy = 0.0397 eV/atom
N(E_F) = 7.9 states/eV/cell

Unit cell a=5.0683 b=5.0683 c=5.6453 alpha=90.00 beta=90.00 gamma=90.00
Space group P4/mmm (No. 123)
Unique sites:
Ca 0.0000 0.0000 0.0000 x1
Zr 0.0000 0.5000 0.5000 x2
Sn 0.5000 0.5000 0.0000 x1
As 0.5000 0.5000 0.5000 x1

***

Entry 4:
First-principles (PBE) data for a relaxed structure of PPt, as listed in Alexandria via LeMat-Bulk.

Calculated values
Density = 8.68 g cm⁻³
Magnetization = 0.0 μB/f.u.
Formation energy = -0.2477 eV/atom
N(E_F) = 5.8 states/eV/cell

Unit cell a=3.8733 b=3.8733 c=19.9674 alpha=90.00 beta=90.00 gamma=120.00
Space group R-3m (No. 166, hexagonal axes)
Unique sites:
P 0.0000 0.0000 0.2461 x6
Pt 0.0000 0.0000 0.1215 x6

***

Entry 5:
First-principles (PBE) data for a relaxed structure of Sr2BeTcO6, as listed in Alexandria via LeMat-Bulk.

Calculated values
Density = 5.34 g cm⁻³
Magnetization = 1.0 μB/f.u.
N(E_F) = 18.3 states/eV/cell
Formation energy without anion corrections = -2.176 eV per atom

Unit cell a=5.5017 b=5.5017 c=26.9340 alpha=90.00 beta=90.00 gamma=120.00
Space group R-3m (No. 166, hexagonal axes)
Unique sites:
Sr 0.0000 0.0000 0.1332 x6
Sr 0.0000 0.0000 0.2848 x6
Be 0.0000 0.0000 0.0000 x3
Be 0.0000 0.0000 0.5000 x3
Tc 0.0000 0.0000 0.4096 x6
O 0.0064 0.5032 0.7055 x18
O 0.0216 0.5108 0.1242 x18

***

Entry 6:
First-principles (PBE) data for a relaxed structure of SmDyThSc, as listed in Alexandria via LeMat-Bulk.

Calculated values
Density = 8.01 g cm⁻³
Magnetization = 0.0 μB/f.u.
Formation energy = 0.1173 eV/atom
N(E_F) = 30.4 states/eV/cell

Unit cell a=7.8784 b=7.8784 c=7.8784 alpha=90.00 beta=90.00 gamma=90.00
Space group F-43m (No. 216)
Unique sites:
Sm 0.0000 0.0000 0.0000 x4
Dy 0.2500 0.2500 0.7500 x4
Th 0.0000 0.0000 0.5000 x4
Sc 0.2500 0.2500 0.2500 x4

***

Entry 7:
First-principles (PBE) data for a relaxed structure of Na10B13C7, as listed in Alexandria via LeMat-Bulk.

Calculated values
Density = 2.47 g cm⁻³
Magnetization = 0.0 μB/f.u.
Formation energy = 0.0938 eV/atom
N(E_F) = 15.6 states/eV/cell

Unit cell a=8.5091 b=2.8378 c=25.3192 alpha=90.00 beta=90.00 gamma=90.00
Space group Amm2 (No. 38)
Unique sites:
Na 0.2484 0.0000 0.0000 x4
Na 0.2503 0.0000 0.8011 x4
Na 0.2514 0.0000 0.2007 x4
Na 0.2512 0.0000 0.4007 x4
Na 0.2508 0.0000 0.5999 x4
B 0.0000 0.0000 0.0701 x2
B 0.0000 0.0000 0.2733 x2
B 0.0000 0.0000 0.4617 x2
B 0.0000 0.0000 0.5313 x2
B 0.0000 0.0000 0.6643 x2
B 0.0000 0.0000 0.7337 x2
B 0.0000 0.0000 0.8672 x2
B 0.5000 0.0000 0.1275 x2
B 0.5000 0.0000 0.3372 x2
B 0.5000 0.0000 0.5312 x2
B 0.5000 0.0000 0.6679 x2
B 0.5000 0.0000 0.7401 x2
B 0.5000 0.0000 0.9343 x2
C 0.0000 0.0000 0.1335 x2
C 0.0000 0.0000 0.3361 x2
C 0.0000 0.0000 0.9311 x2
C 0.5000 0.0000 0.0633 x2
C 0.5000 0.0000 0.2717 x2
C 0.5000 0.0000 0.4661 x2
C 0.5000 0.0000 0.8690 x2

***

Entry 8:
First-principles (PBE) data for a relaxed structure of Tb6TmTh3, as listed in Alexandria via LeMat-Bulk.

Calculated values
Density = 8.98 g cm⁻³
Magnetization = 0.0 μB/f.u.
Formation energy = 0.3395 eV/atom
N(E_F) = 57.5 states/eV/cell

Unit cell a=9.8461 b=9.8461 c=12.0101 alpha=90.00 beta=90.00 gamma=120.00
Space group R-3 (No. 148, hexagonal axes)
Unique sites:
Tb 0.0009 0.6693 0.2487 x18
Tm 0.0000 0.0000 0.5000 x3
Th 0.0000 0.0000 0.0000 x3
Th 0.0000 0.0000 0.2509 x6